--- a ---
This record from the Alexandria database describes a crystal of Al2ReTc relaxed with PBEsol. The functional is meta-GGA SCAN.

Unit cell a=3.062 b=3.062 c=5.953 alpha=90.00 beta=90.00 gamma=90.00
Sites, in units of the cell vectors:
Re 0.000 0.000 0.494
Tc 0.500 0.500 0.760
Al 0.000 0.000 0.992
Al 0.500 0.500 0.254

The spin magnetization comes out at 0.000 μB per cell.

--- b ---
This record from the Alexandria database describes a crystal of Al2ReTc relaxed with PBEsol. The functional is meta-GGA SCAN.

Unit cell a=3.049 b=4.157 c=4.481 alpha=90.00 beta=90.00 gamma=90.00
Sites, in units of the cell vectors:
Re 0.500 0.500 0.000
Tc 0.000 0.500 0.500
Al 0.000 0.000 0.000
Al 0.500 0.000 0.500

The spin magnetization comes out at 0.000 μB per cell.

It turns out a is the most stable, with the second structure 228 meV per atom higher.

--- a ---
This record from the Alexandria database describes a crystal of AlTl2Re relaxed with PBEsol. The functional is meta-GGA SCAN.

Unit cell a=3.647 b=3.647 c=5.710 alpha=90.00 beta=90.00 gamma=90.00
Sites, in units of the cell vectors:
Re 0.500 0.500 0.500
Tl 0.000 0.000 0.747
Tl 0.000 0.000 0.253
Al 0.500 0.500 0.000

The spin magnetization comes out at 0.000 μB per cell.

--- b ---
This record from the Alexandria database describes a crystal of AlTl2Re relaxed with PBEsol. The functional is meta-GGA SCAN.

Unit cell a=2.920 b=2.920 c=10.311 alpha=90.00 beta=90.00 gamma=108.18
Sites, in units of the cell vectors:
Re 0.500 0.500 0.280
Tl 0.000 0.000 0.041
Tl 0.500 0.500 0.719
Al 0.000 0.000 0.460

The spin magnetization comes out at 0.000 μB per cell.

It turns out b is the most stable, with the second structure 355 meV per atom higher.

--- a ---
This record from the Alexandria database describes a crystal of AlTlRe2 relaxed with PBEsol. The functional is meta-GGA SCAN.

Unit cell a=2.939 b=2.987 c=8.153 alpha=100.52 beta=90.00 gamma=90.00
Sites, in units of the cell vectors:
Re 0.000 0.055 0.986
Re 0.500 0.462 0.799
Tl 0.000 0.824 0.521
Al 0.500 0.659 0.194

The spin magnetization comes out at 0.000 μB per cell.

--- b ---
This record from the Alexandria database describes a crystal of AlTlRe2 relaxed with PBEsol. The functional is meta-GGA SCAN.

Unit cell a=4.499 b=4.499 c=4.499 alpha=60.00 beta=60.00 gamma=60.00
Sites, in units of the cell vectors:
Re 0.000 0.000 0.000
Re 0.250 0.250 0.250
Tl 0.750 0.750 0.750
Al 0.500 0.500 0.500

The spin magnetization comes out at 0.000 μB per cell.

It turns out a is the most stable, with the second structure 590 meV per atom higher.

--- a ---
This record from the Alexandria database describes a crystal of AlTlRe2 relaxed with PBEsol. The functional is meta-GGA SCAN.

Unit cell a=2.932 b=4.910 c=4.910 alpha=113.51 beta=90.00 gamma=90.00
Sites, in units of the cell vectors:
Re 0.000 0.500 0.000
Re 0.000 0.000 0.500
Tl 0.500 0.000 0.000
Al 0.500 0.500 0.500

The spin magnetization comes out at 0.000 μB per cell.

--- b ---
This record from the Alexandria database describes a crystal of AlTlRe2 relaxed with PBEsol. The functional is meta-GGA SCAN.

Unit cell a=2.825 b=2.825 c=9.602 alpha=81.54 beta=81.54 gamma=60.00
Sites, in units of the cell vectors:
Re 0.259 0.259 0.224
Re 0.741 0.741 0.776
Tl 0.500 0.500 0.500
Al 0.000 0.000 0.000

The spin magnetization comes out at 0.000 μB per cell.

--- c ---
This record from the Alexandria database describes a crystal of AlTlRe2 relaxed with PBEsol. The functional is meta-GGA SCAN.

Unit cell a=2.905 b=2.905 c=9.328 alpha=81.04 beta=81.04 gamma=60.00
Sites, in units of the cell vectors:
Re 0.001 0.001 0.996
Re 0.741 0.741 0.777
Tl 0.499 0.499 0.504
Al 0.259 0.259 0.222

The spin magnetization comes out at 0.000 μB per cell.

It turns out c is the most stable, with the second structure 301 meV per atom higher.

--- a ---
This record from the Alexandria database describes a crystal of AlZnRe2 relaxed with PBEsol. The functional is meta-GGA SCAN.

Unit cell a=2.643 b=2.643 c=8.160 alpha=90.00 beta=90.00 gamma=90.00
Sites, in units of the cell vectors:
Re 0.000 0.000 0.748
Re 0.000 0.000 0.252
Zn 0.500 0.500 0.000
Al 0.500 0.500 0.500

The spin magnetization comes out at 0.000 μB per cell.

--- b ---
This record from the Alexandria database describes a crystal of AlZnRe2 relaxed with PBEsol. The functional is meta-GGA SCAN.

Unit cell a=3.076 b=4.333 c=5.024 alpha=115.54 beta=107.83 gamma=90.00
Sites, in units of the cell vectors:
Re 0.749 0.749 0.499
Re 0.251 0.251 0.501
Zn 0.500 0.000 0.000
Al 0.000 0.500 0.000

The spin magnetization comes out at 0.000 μB per cell.

--- c ---
This record from the Alexandria database describes a crystal of AlZnRe2 relaxed with PBEsol. The functional is meta-GGA SCAN.

Unit cell a=3.023 b=3.023 c=6.146 alpha=90.00 beta=90.00 gamma=90.00
Sites, in units of the cell vectors:
Re 0.000 0.000 0.001
Re 0.500 0.500 0.246
Zn 0.000 0.000 0.506
Al 0.500 0.500 0.747

The spin magnetization comes out at 0.000 μB per cell.

It turns out c is the most stable, with the second structure 213 meV per atom higher.

--- a ---
This record from the Alexandria database describes a crystal of AlTl2Rh relaxed with PBEsol. The functional is meta-GGA SCAN.

Unit cell a=4.288 b=4.288 c=5.142 alpha=114.64 beta=114.64 gamma=90.00
Sites, in units of the cell vectors:
Tl 0.750 0.250 0.500
Tl 0.250 0.750 0.500
Rh 0.000 0.000 0.000
Al 0.500 0.500 0.000

The spin magnetization comes out at 0.000 μB per cell.

--- b ---
This record from the Alexandria database describes a crystal of AlTl2Rh relaxed with PBEsol. The functional is meta-GGA SCAN.

Unit cell a=3.287 b=4.971 c=5.651 alpha=115.82 beta=106.53 gamma=90.83
Sites, in units of the cell vectors:
Tl 0.000 0.000 0.500
Tl 0.500 0.500 0.500
Rh 0.500 0.500 0.000
Al 0.000 0.000 0.000

The spin magnetization comes out at 0.000 μB per cell.

It turns out b is the most stable, with the second structure 6 meV per atom higher.